Record 1
DFT (GGA-PBE) results for a relaxed CoSiTe2N crystal.

```
data_CoSiTe2N
_cell_length_a 5.513
_cell_length_b 5.513
_cell_length_c 3.246
_cell_angle_alpha 90.00
_cell_angle_beta 90.00
_cell_angle_gamma 90.00
_space_group_name_H-M_alt 'P 1'
_space_group_IT_number 1
_space_group_name_Hall 'P 1'
loop_
_atom_site_label
_atom_site_type_symbol
_atom_site_fract_x
_atom_site_fract_y
_atom_site_fract_z
_atom_site_occupancy
Si1 Si 0.000 0.000 0.000 1
Co1 Co 0.500 0.500 0.500 1
Te1 Te 0.500 0.000 0.000 1
Te2 Te 0.000 0.500 0.000 1
N1 N 0.000 0.000 0.500 1
```

**Magnetization**: 1.87 μB/f.u.
**Space group**: P4/mmm (123)
**Energy above the lowest structure with this stoichiometry**: 0.1156 eV per atom
**E**: -24.3 eV/f.u.
**Formation energy without anion corrections**: 2.82 eV/f.u.


Record 2
DFT (GGA-PBE) results for a relaxed Rb2MgCd2 crystal.

```
data_Rb2MgCd2
_cell_length_a 5.041
_cell_length_b 5.041
_cell_length_c 11.379
_cell_angle_alpha 77.20
_cell_angle_beta 77.20
_cell_angle_gamma 60.00
_space_group_name_H-M_alt 'P 1'
_space_group_IT_number 1
_space_group_name_Hall 'P 1'
loop_
_atom_site_label
_atom_site_type_symbol
_atom_site_fract_x
_atom_site_fract_y
_atom_site_fract_z
_atom_site_occupancy
Rb1 Rb 0.571 0.571 0.288 1
Rb2 Rb 0.429 0.429 0.712 1
Cd1 Cd 0.319 0.319 0.044 1
Cd2 Cd 0.681 0.681 0.956 1
Mg1 Mg 0.000 0.000 0.000 1
```

**Magnetization**: 0.00 μB/f.u.
**Space group**: R-3m (166)
**Energy above the lowest structure with this stoichiometry**: 0.0000 eV per atom
**E**: -5.6 eV/f.u.


Record 3
DFT (GGA-PBE) results for a relaxed Tl3GeW crystal.

```
data_Tl3GeW
_cell_length_a 5.398
_cell_length_b 5.398
_cell_length_c 5.398
_cell_angle_alpha 90.00
_cell_angle_beta 90.00
_cell_angle_gamma 90.00
_space_group_name_H-M_alt 'P 1'
_space_group_IT_number 1
_space_group_name_Hall 'P 1'
loop_
_atom_site_label
_atom_site_type_symbol
_atom_site_fract_x
_atom_site_fract_y
_atom_site_fract_z
_atom_site_occupancy
Tl1 Tl 0.000 0.000 0.500 1
Tl2 Tl 0.500 0.000 0.000 1
Tl3 Tl 0.000 0.500 0.000 1
Ge1 Ge 0.500 0.500 0.500 1
W1 W 0.000 0.000 0.000 1
```

**Magnetization**: 0.00 μB/f.u.
**Space group**: Pm-3m (221)
**Energy above the lowest structure with this stoichiometry**: 0.0000 eV per atom
**E**: -19.2 eV/f.u.


Record 4
DFT (GGA-PBE) results for a relaxed ZrBi3H crystal.

```
data_ZrBi3H
_cell_length_a 5.690
_cell_length_b 5.690
_cell_length_c 5.690
_cell_angle_alpha 90.00
_cell_angle_beta 90.00
_cell_angle_gamma 90.00
_space_group_name_H-M_alt 'P 1'
_space_group_IT_number 1
_space_group_name_Hall 'P 1'
loop_
_atom_site_label
_atom_site_type_symbol
_atom_site_fract_x
_atom_site_fract_y
_atom_site_fract_z
_atom_site_occupancy
Bi1 Bi 0.500 0.000 0.000 1
Bi2 Bi 0.000 0.500 0.000 1
Bi3 Bi 0.000 0.000 0.500 1
Zr1 Zr 0.000 0.000 0.000 1
H1 H 0.500 0.500 0.500 1
```

**Magnetization**: 0.84 μB/f.u.
**Space group**: Pm-3m (221)
**Energy above the lowest structure with this stoichiometry**: 0.3108 eV per atom
**E**: -20.2 eV/f.u.